AcAl4Pd | PBE | optimized geometry

Output
**Space group**: Cmcm (63)
**Final energy**: -54.99 eV for the cell shown
**Magnetization**: 0.0000 μB per atom
**Theoretical density**: 5.9 g/cm³
**Formation energy**: -0.5374 eV per atom

Cell and atoms, written as POSCAR:
```
AcAl4Pd
1.0
-1.316 4.141 0.425
-4.204 -1.869 5.196
6.710 -0.700 5.177
Ac Al Pd
2 8 2
direct
0.115 0.250 0.230
0.885 0.750 0.770
0.500 0.500 0.000
0.500 0.000 0.000
0.687 0.942 0.375
0.313 0.058 0.625
0.313 0.442 0.625
0.687 0.558 0.375
0.075 0.750 0.151
0.925 0.250 0.849
0.225 0.750 0.449
0.775 0.250 0.551
```

---

Te2MoP | PBE | optimized geometry

Output
**Space group**: Pmmm (47)
**Final energy**: -19.30 eV for the cell shown
**Magnetization**: 0.3356 μB per atom
**Theoretical density**: 7.7 g/cm³
**Raw formation energy**: 805.1 meV/atom

Cell and atoms, written as POSCAR:
```
Te2MoP
1.0
-0.287 -0.322 -3.361
-3.392 -3.159 0.592
-3.575 3.827 -0.062
Te Mo P
2 1 1
direct
0.000 0.000 0.000
0.500 0.000 0.500
0.500 0.500 0.000
0.000 0.500 0.500
```

---

K2RePt | PBE | optimized geometry

Output
**Space group**: P4mm (99)
**Offset from the most stable computed form**: 153.3 meV/atom
**Final energy**: -18.09 eV for the cell shown
**Magnetization**: 0.1192 μB per atom
**Theoretical density**: 6.2 g/cm³
**Formation energy**: 0.6482 eV per atom

Cell and atoms, written as POSCAR:
```
K2RePt
1.0
-1.162 3.102 -1.052
-3.020 -0.584 1.618
3.737 4.291 8.524
K Pt Re
2 1 1
direct
0.000 0.000 0.918
0.500 0.500 0.338
0.000 0.000 0.584
0.500 0.500 0.659
```

---

LaAl3Au2 | PBE | optimized geometry

Output
**Space group**: C2/m (12)
**Final energy**: -80.15 eV for the cell shown
**Magnetization**: 0.0000 μB per atom
**Theoretical density**: 8.4 g/cm³
**Formation energy**: -0.6679 eV per atom

Cell and atoms, written as POSCAR:
```
LaAl3Au2
1.0
4.321 0.000 0.000
-2.161 8.158 -2.420
0.000 0.310 10.295
La Al Au
3 9 6
direct
0.158 0.316 0.706
0.842 0.684 0.294
0.000 0.000 0.000
0.044 0.087 0.362
0.956 0.913 0.638
0.212 0.423 0.376
0.788 0.577 0.624
0.629 0.258 0.198
0.371 0.742 0.802
0.500 0.000 0.500
0.336 0.672 0.041
0.664 0.328 0.959
0.199 0.398 0.115
0.801 0.602 0.885
0.477 0.953 0.223
0.523 0.047 0.777
0.351 0.703 0.542
0.649 0.297 0.458
```

---

Question: What is the formula in the first record?
Answer: AcAl4Pd